Computed, not measured: a relaxed SrLa2Fe2 crystal at the PBE level of DFT.

Unit cell a=8.129 b=8.129 c=4.272 alpha=90.00 beta=90.00 gamma=90.00
Positions (direct):
Sr: 0.000 0.000 0.000
Sr: 0.500 0.500 0.000
La: 0.161 0.339 0.500
La: 0.339 0.839 0.500
La: 0.661 0.161 0.500
La: 0.839 0.661 0.500
Fe: 0.097 0.597 0.000
Fe: 0.403 0.097 0.000
Fe: 0.597 0.903 0.000
Fe: 0.903 0.403 0.000

## Properties
- magnetization (μB per cell) = 7.5
- SG = P4/mbm (127)
- theoretical density (Mg/m³) = 5.6
- final energy (eV/atom) = -5.417
- density of states at the Fermi level (states/eV/cell) = 10.99
- E_form (meV per atom) = 275.4

---

Computed, not measured: a relaxed Tb2Ge3Ir5 crystal at the PBE level of DFT.

Unit cell a=12.342 b=12.342 c=6.781 alpha=90.00 beta=90.00 gamma=160.52
Positions (direct):
Tb: 0.022 0.978 0.500
Tb: 0.325 0.675 0.515
Tb: 0.675 0.325 0.015
Tb: 0.978 0.022 0.000
Ge: 0.111 0.889 0.229
Ge: 0.266 0.734 0.026
Ge: 0.455 0.545 0.295
Ge: 0.545 0.455 0.795
Ge: 0.734 0.266 0.526
Ge: 0.889 0.111 0.729
Ir: 0.100 0.900 0.843
Ir: 0.207 0.793 0.730
Ir: 0.208 0.792 0.329
Ir: 0.368 0.632 0.054
Ir: 0.443 0.557 0.666
Ir: 0.557 0.443 0.166
Ir: 0.632 0.368 0.554
Ir: 0.792 0.208 0.829
Ir: 0.793 0.207 0.230
Ir: 0.900 0.100 0.343

## Properties
- magnetization (μB per cell) = 0.0
- SG = Cmc2_1 (36)
- theoretical density (Mg/m³) = 14.4
- final energy (eV/atom) = -7.337
- density of states at the Fermi level (states/eV/cell) = 6.11
- E_form (meV per atom) = -594.9

---

Computed, not measured: a relaxed PmReGe2 crystal at the PBE level of DFT.

Unit cell a=4.663 b=4.663 c=4.663 alpha=61.22 beta=61.22 gamma=61.22
Positions (direct):
Pm: 0.000 0.000 0.000
Re: 0.500 0.500 0.500
Ge: 0.254 0.254 0.254
Ge: 0.746 0.746 0.746

## Properties
- magnetization (μB per cell) = 0.0
- SG = R-3m (166)
- theoretical density (Mg/m³) = 10.7
- final energy (eV/atom) = -6.662
- density of states at the Fermi level (states/eV/cell) = 2.16
- E_form (meV per atom) = -53.8

---

Computed, not measured: a relaxed MnBi2I crystal at the PBE level of DFT.

Unit cell a=5.476 b=5.476 c=5.476 alpha=60.00 beta=60.00 gamma=60.00
Positions (direct):
Mn: 0.000 0.000 0.000
Bi: 0.250 0.250 0.250
Bi: 0.750 0.750 0.750
I: 0.500 0.500 0.500

## Properties
- ΔE to the lowest computed polymorph (kJ/mol of formula units) = 61.4
- magnetization (μB per cell) = 4.1
- SG = Fm-3m (225)
- theoretical density (Mg/m³) = 8.6
- final energy (eV/atom) = -4.022
- raw formation energy (eV per atom) = 0.5984
- density of states at the Fermi level (states/eV/cell) = 5.45

---

Computed, not measured: a relaxed NaAl3Br crystal at the PBE level of DFT.

Unit cell a=5.529 b=5.529 c=5.529 alpha=90.00 beta=90.00 gamma=90.00
Positions (direct):
Na: 0.000 0.000 0.000
Al: 0.000 0.500 0.500
Al: 0.500 0.000 0.500
Al: 0.500 0.500 0.000
Br: 0.500 0.500 0.500

## Properties
- ΔE to the lowest computed polymorph (kJ/mol of formula units) = 0.0
- magnetization (μB per cell) = 0.0
- SG = Pm-3m (221)
- theoretical density (Mg/m³) = 1.8
- final energy (eV/atom) = -2.197
- raw formation energy (eV per atom) = 0.6470
- density of states at the Fermi level (states/eV/cell) = 2.49

---

Computed, not measured: a relaxed TcSn2Au crystal at the PBE level of DFT.

Unit cell a=4.818 b=4.818 c=4.818 alpha=60.00 beta=60.00 gamma=60.00
Positions (direct):
Tc: 0.000 0.000 0.000
Sn: 0.250 0.250 0.250
Sn: 0.750 0.750 0.750
Au: 0.500 0.500 0.500

## Properties
- ΔE to the lowest computed polymorph (kJ/mol of formula units) = 92.2
- magnetization (μB per cell) = 1.4
- SG = Fm-3m (225)
- theoretical density (Mg/m³) = 11.2
- final energy (eV/atom) = -5.058
- density of states at the Fermi level (states/eV/cell) = 2.89
- E_form (meV per atom) = 354.5

---

Computed, not measured: a relaxed Al2SbOs crystal at the PBE level of DFT.

Unit cell a=3.123 b=3.728 c=6.178 alpha=90.00 beta=90.00 gamma=90.00
Positions (direct):
Al: 0.000 0.000 0.000
Al: 0.500 0.500 0.258
Sb: 0.500 0.500 0.725
Os: 0.000 0.000 0.397

## Properties
- magnetization (μB per cell) = 0.0
- SG = Pmm2 (25)
- theoretical density (Mg/m³) = 8.4
- final energy (eV/atom) = -5.552
- raw formation energy (eV per atom) = 0.1570
- density of states at the Fermi level (states/eV/cell) = 1.45

---

Computed, not measured: a relaxed LiBeSi4 crystal at the PBE level of DFT.

Unit cell a=4.982 b=4.982 c=4.982 alpha=60.00 beta=60.00 gamma=60.00
Positions (direct):
Li: 0.000 0.000 0.000
Be: 0.750 0.750 0.750
Si: 0.375 0.375 0.375
Si: 0.375 0.375 0.875
Si: 0.375 0.875 0.375
Si: 0.875 0.375 0.375

## Properties
- magnetization (μB per cell) = 0.0
- SG = F-43m (216)
- theoretical density (Mg/m³) = 2.4
- final energy (eV/atom) = -4.153
- raw formation energy (eV per atom) = 0.4022
- density of states at the Fermi level (states/eV/cell) = 1.32

---

Computed, not measured: a relaxed ZrMn6Al6 crystal at the PBE level of DFT.

Unit cell a=6.501 b=6.501 c=6.501 alpha=134.20 beta=99.68 gamma=97.74
Positions (direct):
Zr: 0.000 0.000 0.000
Mn: 0.000 0.000 0.500
Mn: 0.000 0.500 0.000
Mn: 0.241 0.741 0.500
Mn: 0.500 0.000 0.000
Mn: 0.500 0.500 0.500
Mn: 0.759 0.259 0.500
Al: 0.187 0.500 0.687
Al: 0.338 0.338 0.000
Al: 0.343 0.000 0.343
Al: 0.657 0.000 0.657
Al: 0.662 0.662 0.000
Al: 0.813 0.500 0.313

## Properties
- magnetization (μB per cell) = 5.5
- SG = Immm (71)
- theoretical density (Mg/m³) = 5.3
- final energy (eV/atom) = -6.885
- density of states at the Fermi level (states/eV/cell) = 10.55
- E_form (meV per atom) = -267.8

---

Computed, not measured: a relaxed CsLaHg crystal at the PBE level of DFT.

Unit cell a=4.078 b=6.797 c=10.372 alpha=107.83 beta=90.35 gamma=107.43
Positions (direct):
Cs: 0.000 0.000 0.000
Cs: 0.212 0.403 0.775
La: 0.729 0.464 0.391
La: 0.994 0.994 0.390
Hg: 0.312 0.636 0.189
Hg: 0.424 0.847 0.595

## Properties
- magnetization (μB per cell) = 0.0
- SG = P1 (1)
- theoretical density (Mg/m³) = 6.0
- final energy (eV/atom) = -2.106
- density of states at the Fermi level (states/eV/cell) = 5.16
- E_form (meV per atom) = -78.6

---

Computed, not measured: a relaxed CoWAu2 crystal at the PBE level of DFT.

Unit cell a=4.904 b=4.904 c=4.759 alpha=99.59 beta=99.59 gamma=33.37
Positions (direct):
Co: 0.000 0.000 0.000
W: 0.500 0.500 0.500
Au: 0.252 0.252 0.752
Au: 0.748 0.748 0.248

## Properties
- ΔE to the lowest computed polymorph (kJ/mol of formula units) = 99.4
- magnetization (μB per cell) = 0.0
- SG = C2/m (12)
- theoretical density (Mg/m³) = 17.1
- final energy (eV/atom) = -6.213
- density of states at the Fermi level (states/eV/cell) = 3.12
- E_form (meV per atom) = 440.0

---

Computed, not measured: a relaxed SrAlCd2 crystal at the PBE level of DFT.

Unit cell a=3.616 b=4.691 c=6.537 alpha=90.00 beta=106.04 gamma=90.00
Positions (direct):
Sr: 0.000 0.000 0.000
Al: 0.625 0.500 0.249
Cd: 0.329 0.500 0.659
Cd: 0.733 0.000 0.474

## Properties
- magnetization (μB per cell) = 0.0
- SG = Pm (6)
- theoretical density (Mg/m³) = 5.3
- final energy (eV/atom) = -1.902
- density of states at the Fermi level (states/eV/cell) = 1.74
- E_form (meV per atom) = -88.4